# 1
Here is a relaxed Y2RhW crystal from the Alexandria database. Energies are from GGA-PBE.

Density, g/cm3: 9.61
Excess energy over the best structure of this formula in the dataset, meV per atom: 349.2
Total magnetization, μB/atom: 0.0003
DOS at the Fermi energy, states/eV per atom: 1.366
Symmetry: F-43m

Structure (CIF):
```
data_Y2RhW
_chemical_formula_sum 'Y2 Rh1 W1'
_cell_length_a 4.843
_cell_length_b 4.843
_cell_length_c 4.843
_cell_angle_alpha 60.00
_cell_angle_beta 60.00
_cell_angle_gamma 60.00
_symmetry_space_group_name_H-M 'P 1'
_symmetry_Int_Tables_number 1
_symmetry_space_group_name_Hall 'P 1'
loop_
_atom_site_label
_atom_site_type_symbol
_atom_site_fract_x
_atom_site_fract_y
_atom_site_fract_z
Y1 Y 0.000 0.000 0.000
Y2 Y 0.750 0.750 0.750
Rh1 Rh 0.500 0.500 0.500
W1 W 0.250 0.250 0.250
```

# 2
Here is a relaxed Tm4AgPd2Rh crystal from the Alexandria database. Energies are from GGA-PBE.

Density, g/cm3: 10.89
Total magnetization, μB/atom: 0.0000
DOS at the Fermi energy, states/eV per atom: 0.476
Raw total energy, eV/atom: -5.6099
Symmetry: R-3m

Structure (CIF):
```
data_Tm4AgPd2Rh
_chemical_formula_sum 'Tm4 Ag1 Pd2 Rh1'
_cell_length_a 4.910
_cell_length_b 4.910
_cell_length_c 8.512
_cell_angle_alpha 73.24
_cell_angle_beta 73.24
_cell_angle_gamma 60.00
_symmetry_space_group_name_H-M 'P 1'
_symmetry_Int_Tables_number 1
_symmetry_space_group_name_Hall 'P 1'
loop_
_atom_site_label
_atom_site_type_symbol
_atom_site_fract_x
_atom_site_fract_y
_atom_site_fract_z
Rh1 Rh 0.500 0.500 0.500
Tm1 Tm 0.380 0.380 0.860
Pd1 Pd 0.250 0.250 0.249
Pd2 Pd 0.750 0.750 0.751
Tm2 Tm 0.129 0.129 0.613
Ag1 Ag 0.000 0.000 0.000
Tm3 Tm 0.620 0.620 0.140
Tm4 Tm 0.871 0.871 0.387
```

# 3
Here is a relaxed AlTcHgC2 crystal from the Alexandria database. Energies are from GGA-PBE.

Density, g/cm3: 6.30
Total magnetization, μB/atom: 0.3923
DOS at the Fermi energy, states/eV per atom: 0.614
Raw total energy, eV/atom: -3.7303
Symmetry: P4/mmm

Structure (CIF):
```
data_AlTcHgC2
_chemical_formula_sum 'Al1 Tc1 Hg1 C2'
_cell_length_a 4.110
_cell_length_b 5.453
_cell_length_c 4.110
_cell_angle_alpha 90.00
_cell_angle_beta 90.00
_cell_angle_gamma 90.00
_symmetry_space_group_name_H-M 'P 1'
_symmetry_Int_Tables_number 1
_symmetry_space_group_name_Hall 'P 1'
loop_
_atom_site_label
_atom_site_type_symbol
_atom_site_fract_x
_atom_site_fract_y
_atom_site_fract_z
C1 C 0.500 0.000 0.000
Al1 Al 0.500 0.500 0.500
Tc1 Tc 0.000 0.500 0.000
C2 C 0.000 0.000 0.500
Hg1 Hg 0.000 0.000 0.000
```

# 4
Here is a relaxed RbBaNa2W crystal from the Alexandria database. Energies are from GGA-PBE.

Density, g/cm3: 3.23
Total magnetization, μB/atom: 0.8766
DOS at the Fermi energy, states/eV per atom: 0.831
Raw total energy, eV/atom: -1.9311
Symmetry: P4/mmm

Structure (CIF):
```
data_RbBaNa2W
_chemical_formula_sum 'Rb1 Ba1 Na2 W1'
_cell_length_a 5.741
_cell_length_b 7.061
_cell_length_c 5.741
_cell_angle_alpha 90.00
_cell_angle_beta 90.00
_cell_angle_gamma 90.00
_symmetry_space_group_name_H-M 'P 1'
_symmetry_Int_Tables_number 1
_symmetry_space_group_name_Hall 'P 1'
loop_
_atom_site_label
_atom_site_type_symbol
_atom_site_fract_x
_atom_site_fract_y
_atom_site_fract_z
Na1 Na 0.000 0.000 0.500
Na2 Na 0.500 0.000 0.000
Ba1 Ba 0.000 0.500 0.000
W1 W 0.500 0.500 0.500
Rb1 Rb 0.000 0.000 0.000
```

# 5
Here is a relaxed BaOs2O7 crystal from the Alexandria database. Energies are from GGA-PBE.

Density, g/cm3: 8.40
Total magnetization, μB/atom: 0.0617
DOS at the Fermi energy, states/eV per atom: 0.626
Raw total energy, eV/atom: -7.2075
Symmetry: Cmmm

Structure (CIF):
```
data_BaOs2O7
_chemical_formula_sum 'Ba1 Os2 O7'
_cell_length_a 3.854
_cell_length_b 6.036
_cell_length_c 6.036
_cell_angle_alpha 117.55
_cell_angle_beta 90.00
_cell_angle_gamma 90.00
_symmetry_space_group_name_H-M 'P 1'
_symmetry_Int_Tables_number 1
_symmetry_space_group_name_Hall 'P 1'
loop_
_atom_site_label
_atom_site_type_symbol
_atom_site_fract_x
_atom_site_fract_y
_atom_site_fract_z
O1 O 0.500 0.333 0.036
O2 O 0.500 0.964 0.667
O3 O 0.500 0.667 0.964
O4 O 0.000 0.693 0.307
Os1 Os 0.500 0.689 0.311
O5 O 0.000 0.307 0.693
Os2 Os 0.500 0.311 0.689
Ba1 Ba 0.000 0.000 0.000
O6 O 0.500 0.036 0.333
O7 O 0.500 0.500 0.500
```

# 6
Here is a relaxed NdHoS3 crystal from the Alexandria database. Energies are from GGA-PBE.

Density, g/cm3: 5.53
Excess energy over the best structure of this formula in the dataset, meV per atom: 22.5
Total magnetization, μB/atom: 0.0000
Symmetry: P2_1/m

Structure (CIF):
```
data_NdHoS3
_chemical_formula_sum 'Nd2 Ho2 S6'
_cell_length_a 3.959
_cell_length_b 7.851
_cell_length_c 7.866
_cell_angle_alpha 94.66
_cell_angle_beta 90.00
_cell_angle_gamma 90.00
_symmetry_space_group_name_H-M 'P 1'
_symmetry_Int_Tables_number 1
_symmetry_space_group_name_Hall 'P 1'
loop_
_atom_site_label
_atom_site_type_symbol
_atom_site_fract_x
_atom_site_fract_y
_atom_site_fract_z
Nd1 Nd 0.750 0.623 0.771
S1 S 0.250 0.903 0.679
Ho1 Ho 0.250 0.853 0.324
Nd2 Nd 0.250 0.377 0.229
S2 S 0.750 0.317 0.976
S3 S 0.250 0.374 0.613
Ho2 Ho 0.750 0.147 0.676
S4 S 0.750 0.626 0.387
S5 S 0.750 0.097 0.321
S6 S 0.250 0.683 0.024
```

# 7
Here is a relaxed GdLuPuPb crystal from the Alexandria database. Energies are from GGA-PBE.

Density, g/cm3: 11.30
Total magnetization, μB/atom: 0.1294
DOS at the Fermi energy, states/eV per atom: 3.044
Raw total energy, eV/atom: -9.1631
Symmetry: F-43m

Structure (CIF):
```
data_GdLuPuPb
_chemical_formula_sum 'Gd1 Lu1 Pu1 Pb1'
_cell_length_a 5.461
_cell_length_b 5.461
_cell_length_c 5.461
_cell_angle_alpha 60.00
_cell_angle_beta 60.00
_cell_angle_gamma 60.00
_symmetry_space_group_name_H-M 'P 1'
_symmetry_Int_Tables_number 1
_symmetry_space_group_name_Hall 'P 1'
loop_
_atom_site_label
_atom_site_type_symbol
_atom_site_fract_x
_atom_site_fract_y
_atom_site_fract_z
Pb1 Pb 0.250 0.250 0.250
Lu1 Lu 0.750 0.750 0.750
Pu1 Pu 0.000 0.000 0.000
Gd1 Gd 0.500 0.500 0.500
```

# 8
Here is a relaxed KSb2Se2 crystal from the Alexandria database. Energies are from GGA-PBE.

Density, g/cm3: 4.95
Excess energy over the best structure of this formula in the dataset, meV per atom: 54.9
Total magnetization, μB/atom: 0.0000
DOS at the Fermi energy, states/eV per atom: 0.620
Symmetry: I4/mmm

Structure (CIF):
```
data_KSb2Se2
_chemical_formula_sum 'K1 Sb2 Se2'
_cell_length_a 4.443
_cell_length_b 4.443
_cell_length_c 8.123
_cell_angle_alpha 74.13
_cell_angle_beta 74.13
_cell_angle_gamma 90.00
_symmetry_space_group_name_H-M 'P 1'
_symmetry_Int_Tables_number 1
_symmetry_space_group_name_Hall 'P 1'
loop_
_atom_site_label
_atom_site_type_symbol
_atom_site_fract_x
_atom_site_fract_y
_atom_site_fract_z
Sb1 Sb 0.250 0.750 0.500
Se1 Se 0.416 0.416 0.168
K1 K 0.000 0.000 0.000
Se2 Se 0.584 0.584 0.832
Sb2 Sb 0.750 0.250 0.500
```

# 9
Here is a relaxed Cd2Bi2Br crystal from the Alexandria database. Energies are from GGA-PBE.

Density, g/cm3: 7.63
Excess energy over the best structure of this formula in the dataset, meV per atom: 0.0
Total magnetization, μB/atom: 0.0000
DOS at the Fermi energy, states/eV per atom: 0.581
Symmetry: I4/mmm

Structure (CIF):
```
data_Cd2Bi2Br
_chemical_formula_sum 'Cd2 Bi2 Br1'
_cell_length_a 4.563
_cell_length_b 4.563
_cell_length_c 8.219
_cell_angle_alpha 73.89
_cell_angle_beta 73.89
_cell_angle_gamma 90.00
_symmetry_space_group_name_H-M 'P 1'
_symmetry_Int_Tables_number 1
_symmetry_space_group_name_Hall 'P 1'
loop_
_atom_site_label
_atom_site_type_symbol
_atom_site_fract_x
_atom_site_fract_y
_atom_site_fract_z
Cd1 Cd 0.408 0.408 0.185
Br1 Br 0.000 0.000 0.000
Bi1 Bi 0.750 0.250 0.500
Bi2 Bi 0.250 0.750 0.500
Cd2 Cd 0.592 0.592 0.815
```

# 10
Here is a relaxed KNpAuS3 crystal from the Alexandria database. Energies are from GGA-PBE.

Density, g/cm3: 6.19
Total magnetization, μB/atom: 0.5000
DOS at the Fermi energy, states/eV per atom: 1.704
Raw total energy, eV/atom: -5.9949
Symmetry: Cmcm

Structure (CIF):
```
data_KNpAuS3
_chemical_formula_sum 'K2 Np2 Au2 S6'
_cell_length_a 4.097
_cell_length_b 7.513
_cell_length_c 10.314
_cell_angle_alpha 90.00
_cell_angle_beta 90.00
_cell_angle_gamma 105.82
_symmetry_space_group_name_H-M 'P 1'
_symmetry_Int_Tables_number 1
_symmetry_space_group_name_Hall 'P 1'
loop_
_atom_site_label
_atom_site_type_symbol
_atom_site_fract_x
_atom_site_fract_y
_atom_site_fract_z
Au1 Au 0.431 0.861 0.750
S1 S 0.055 0.110 0.750
S2 S 0.377 0.754 0.531
Np1 Np 0.000 0.000 0.000
S3 S 0.377 0.754 0.969
S4 S 0.945 0.890 0.250
K1 K 0.268 0.535 0.250
K2 K 0.732 0.465 0.750
S5 S 0.623 0.246 0.031
Au2 Au 0.569 0.139 0.250
S6 S 0.623 0.246 0.469
Np2 Np 0.000 0.000 0.500
```

# 11
Here is a relaxed Ba4SiI5 crystal from the Alexandria database. Energies are from GGA-PBE.

Density, g/cm3: 3.91
Total magnetization, μB/atom: 0.1034
DOS at the Fermi energy, states/eV per atom: 0.348
Raw total energy, eV/atom: -3.4622
Symmetry: C2/m

Structure (CIF):
```
data_Ba4SiI5
_chemical_formula_sum 'Ba4 Si1 I5'
_cell_length_a 5.030
_cell_length_b 9.709
_cell_length_c 12.635
_cell_angle_alpha 121.04
_cell_angle_beta 101.48
_cell_angle_gamma 90.00
_symmetry_space_group_name_H-M 'P 1'
_symmetry_Int_Tables_number 1
_symmetry_space_group_name_Hall 'P 1'
loop_
_atom_site_label
_atom_site_type_symbol
_atom_site_fract_x
_atom_site_fract_y
_atom_site_fract_z
Ba1 Ba 0.999 0.767 0.999
Ba2 Ba 0.001 0.233 0.001
Ba3 Ba 0.663 0.209 0.326
I1 I 0.169 0.475 0.338
I2 I 0.831 0.525 0.662
I3 I 0.165 0.969 0.330
Si1 Si 0.500 0.000 0.000
I4 I 0.835 0.031 0.670
I5 I 0.500 0.500 0.000
Ba4 Ba 0.337 0.791 0.674
```

# 12
Here is a relaxed LiSc2P crystal from the Alexandria database. Energies are from GGA-PBE.

Density, g/cm3: 2.47
Total magnetization, μB/atom: 0.0000
DOS at the Fermi energy, states/eV per atom: 0.748
Raw total energy, eV/atom: -5.5710
Symmetry: R-3m

Structure (CIF):
```
data_LiSc2P
_chemical_formula_sum 'Li1 Sc2 P1'
_cell_length_a 3.826
_cell_length_b 3.826
_cell_length_c 7.129
_cell_angle_alpha 74.46
_cell_angle_beta 74.46
_cell_angle_gamma 59.99
_symmetry_space_group_name_H-M 'P 1'
_symmetry_Int_Tables_number 1
_symmetry_space_group_name_Hall 'P 1'
loop_
_atom_site_label
_atom_site_type_symbol
_atom_site_fract_x
_atom_site_fract_y
_atom_site_fract_z
Sc1 Sc 0.519 0.519 0.443
Li1 Li 0.750 0.750 0.750
Sc2 Sc 0.981 0.981 0.057
P1 P 0.250 0.250 0.250
```